1.
{
  "formula": "Pu5ZnAu4",
  "functional": "GGA-PBE",
  "state": "relaxed",
  "cell": [[3.4999, 0.0000, 0.0000], [0.0000, 3.4999, 0.0000], [0.0000, 0.0000, 19.4027]],
  "species": ["Au", "Pu", "Au", "Au", "Pu", "Pu", "Pu", "Pu", "Zn", "Au"],
  "frac_coords": [[0.0000, 0.0000, 0.8035], [0.5000, 0.5000, 0.0971], [0.0000, 0.0000, 0.6013], [0.0000, 0.0000, 0.3987], [0.5000, 0.5000, 0.2979], [0.5000, 0.5000, 0.7021], [0.5000, 0.5000, 0.5000], [0.5000, 0.5000, 0.9029], [0.0000, 0.0000, 0.0000], [0.0000, 0.0000, 0.1965]],
  "energy_ev_per_atom": -8.917,
  "density_g_cm3": 14.485,
  "n_ef_per_ev_cell": 41.1
}



2.
{
  "formula": "Pu2ZnAu3",
  "functional": "GGA-PBE",
  "state": "relaxed",
  "cell": [[-2.7768, 1.1372, -0.9121], [-0.5018, -3.9836, -3.4390], [-2.1622, -3.1582, 8.0371]],
  "species": ["Pu", "Pu", "Au", "Au", "Zn", "Au"],
  "frac_coords": [[0.6611, 0.6611, 0.3221], [0.3389, 0.3389, 0.6779], [0.0000, 0.5000, 0.0000], [0.1577, 0.1577, 0.3154], [0.0000, 0.0000, 0.0000], [0.8423, 0.8423, 0.6846]],
  "energy_ev_per_atom": -6.841,
  "density_g_cm3": 13.718,
  "de_polymorph_ev_per_atom": 0.235,
  "n_ef_per_ev_cell": 20.2
}



3.
{
  "formula": "PuZn3Au6",
  "functional": "GGA-PBE",
  "state": "relaxed",
  "cell": [[-2.4816, -1.1136, -6.5258], [-2.4558, -6.3674, 2.0204], [-5.6494, 5.5610, 1.1994]],
  "species": ["Zn", "Au", "Au", "Au", "Zn", "Au", "Zn", "Pu", "Zn", "Au", "Au", "Au", "Au", "Pu", "Au", "Zn", "Au", "Au", "Zn", "Au"],
  "frac_coords": [[0.3432, 0.6860, 0.9449], [0.4385, 0.0483, 0.1836], [0.3521, 0.2943, 0.7617], [0.1479, 0.7943, 0.2617], [0.8432, 0.8140, 0.5551], [0.6479, 0.7057, 0.2383], [0.5000, 0.0000, 0.5000], [0.5000, 0.5000, 0.5000], [0.0000, 0.5000, 0.0000], [0.7993, 0.1092, 0.3622], [0.5615, 0.9517, 0.8164], [0.8521, 0.2057, 0.7383], [0.7007, 0.6092, 0.8622], [0.0000, 0.0000, 0.0000], [0.2993, 0.3908, 0.1378], [0.1568, 0.1860, 0.4449], [0.9385, 0.4517, 0.3164], [0.2007, 0.8908, 0.6378], [0.6568, 0.3140, 0.0551], [0.0615, 0.5483, 0.6836]],
  "energy_ev_per_atom": -4.017,
  "density_g_cm3": 14.171,
  "n_ef_per_ev_cell": 33.7
}



4.
{
  "formula": "PuZnAu",
  "functional": "GGA-PBE",
  "state": "relaxed",
  "cell": [[-2.1082, -0.5682, 2.0692], [3.7411, -2.1829, 3.2122], [-0.6107, 7.8850, 1.5431]],
  "species": ["Zn", "Zn", "Pu", "Au", "Au", "Pu"],
  "frac_coords": [[0.5000, 0.1672, 0.0000], [0.0000, 0.6094, 0.0000], [0.5000, 0.2822, 0.6381], [0.0000, 0.8263, 0.7332], [0.0000, 0.0932, 0.2668], [0.5000, 0.6441, 0.3619]],
  "energy_ev_per_atom": -6.552,
  "density_g_cm3": 13.653,
  "n_ef_per_ev_cell": 13.2
}



5.
{
  "formula": "PuZn6Au4",
  "functional": "GGA-PBE",
  "state": "relaxed",
  "cell": [[-4.3999, 1.9017, -4.8537], [-2.2463, -1.3141, 6.3056], [4.4557, 4.5127, 2.5132]],
  "species": ["Au", "Zn", "Au", "Zn", "Pu", "Au", "Au", "Zn", "Zn", "Zn", "Zn"],
  "frac_coords": [[0.0000, 0.2304, 0.6050], [0.5000, 0.5000, 0.0000], [0.3746, 0.7696, 0.7696], [0.6560, 0.1301, 0.1301], [0.0000, 0.0000, 0.0000], [0.6254, 0.3950, 0.3950], [0.0000, 0.6050, 0.2304], [0.0000, 0.8699, 0.5258], [0.3440, 0.4742, 0.4742], [0.0000, 0.5258, 0.8699], [0.5000, 0.0000, 0.5000]],
  "energy_ev_per_atom": -3.349,
  "density_g_cm3": 10.527,
  "de_polymorph_ev_per_atom": 0.097,
  "n_ef_per_ev_cell": 17.5
}



6.
{
  "formula": "PuZnAu3",
  "functional": "GGA-PBE",
  "state": "relaxed",
  "cell": [[5.1226, 0.0000, 1.9006], [0.0000, 4.4759, 0.0000], [-0.7664, -2.2379, 8.6263]],
  "species": ["Zn", "Zn", "Au", "Pu", "Au", "Pu", "Au", "Au", "Au", "Au"],
  "frac_coords": [[0.3672, 0.1919, 0.3838], [0.6328, 0.8081, 0.6162], [0.6222, 0.6533, 0.3067], [0.1811, 0.5775, 0.1550], [0.8748, 0.2171, 0.4343], [0.8189, 0.4225, 0.8450], [0.2693, 0.9557, 0.9114], [0.3778, 0.3467, 0.6933], [0.7307, 0.0443, 0.0886], [0.1252, 0.7829, 0.5657]],
  "energy_ev_per_atom": -5.392,
  "density_g_cm3": 14.635,
  "de_polymorph_ev_per_atom": 0.016,
  "n_ef_per_ev_cell": 28.8
}



7.
{
  "formula": "PuZn5Au2",
  "functional": "GGA-PBE",
  "state": "relaxed",
  "cell": [[-2.6391, -1.0735, 1.3743], [1.9237, -0.8168, 6.6963], [-2.3570, 5.6075, 3.4941]],
  "species": ["Pu", "Zn", "Zn", "Zn", "Au", "Zn", "Au", "Zn"],
  "frac_coords": [[0.0000, 0.0000, 0.0000], [0.0000, 0.5000, 0.5000], [0.6293, 0.5881, 0.1532], [0.3707, 0.8468, 0.4119], [0.7510, 0.7490, 0.7490], [0.3707, 0.4119, 0.8468], [0.2490, 0.2510, 0.2510], [0.6293, 0.1532, 0.5881]],
  "energy_ev_per_atom": -3.612,
  "density_g_cm3": 11.208,
  "n_ef_per_ev_cell": 10.4
}



8.
{
  "formula": "PuZn2Au2",
  "functional": "GGA-PBE",
  "state": "relaxed",
  "cell": [[4.0284, 0.3487, 0.0000], [-0.3487, 4.0284, 0.0000], [0.0000, 0.0000, 12.5384]],
  "species": ["Au", "Au", "Pu", "Zn", "Au", "Zn", "Pu", "Zn", "Zn", "Au"],
  "frac_coords": [[0.7495, 0.7495, 0.6386], [0.7495, 0.7495, 0.8614], [0.7505, 0.7505, 0.2500], [0.7503, 0.2497, 0.0000], [0.2505, 0.2505, 0.1386], [0.2497, 0.7503, 0.5000], [0.2495, 0.2495, 0.7500], [0.2497, 0.7503, 0.0000], [0.7503, 0.2497, 0.5000], [0.2505, 0.2505, 0.3614]],
  "energy_ev_per_atom": -5.015,
  "density_g_cm3": 12.454,
  "de_polymorph_ev_per_atom": 0.000,
  "n_ef_per_ev_cell": 28.1
}